1.
This record from Alexandria describes crystalline LiMnCl2 at its relaxed geometry. The functional is PBE.

- space-group type = Fm-3m (225)
- offset from the most stable computed form (eV/f.u.) = 1.443
- Fermi-level density of states (states/eV/atom) = 1.109
- ρ (g/cm3) = 3.2

abc: 4.5850 4.5850 4.5850
angles: 60.00 60.00 60.00
Site moments in Bohr magnetons follow the coordinates.
Positions (direct):
Mn 0.5000 0.5000 0.5000  3.82
Li 0.0000 0.0000 0.0000  -0.01
Cl 0.2500 0.2500 0.2500  0.04
Cl 0.7500 0.7500 0.7500  0.04


2.
This record from Alexandria describes crystalline YTcN3 at its relaxed geometry. The functional is PBE.

- space-group type = P6_3/mmc (194)
- Fermi-level density of states (states/eV/atom) = 0.452
- ρ (g/cm3) = 6.9

abc: 3.9577 3.9577 8.1453
angles: 90.00 90.00 120.00
Positions (direct):
Y 0.3333 0.6667 0.7500
Y 0.6667 0.3333 0.2500
Tc 0.0000 0.0000 0.0000
Tc 0.0000 0.0000 0.5000
N 0.0000 0.0000 0.2500
N 0.0000 0.0000 0.7500
N 0.3333 0.6667 0.0370
N 0.3333 0.6667 0.4630
N 0.6667 0.3333 0.5370
N 0.6667 0.3333 0.9630


3.
This record from Alexandria describes crystalline Ta3V7Fe2 at its relaxed geometry. The functional is PBE.

- ΔE_f (eV/atom) = -0.029
- space-group type = R-3m (166)
- Fermi-level density of states (states/eV/atom) = 0.774
- ρ (g/cm3) = 9.7

abc: 4.9542 4.9542 8.6029
angles: 73.27 73.27 60.00
Site moments in Bohr magnetons follow the coordinates.
Positions (direct):
Ta 0.0000 0.0000 0.0000  -0.07
Ta 0.8551 0.8551 0.4346  -0.01
Ta 0.1449 0.1449 0.5654  -0.01
V 0.5000 0.5000 0.5000  0.01
V 0.9201 0.4162 0.2475  -0.03
V 0.4162 0.9201 0.2475  -0.03
V 0.4162 0.4162 0.2475  -0.03
V 0.0799 0.5838 0.7525  -0.03
V 0.5838 0.5838 0.7525  -0.03
V 0.5838 0.0799 0.7525  -0.03
Fe 0.6677 0.6677 0.9968  0.92
Fe 0.3323 0.3323 0.0032  0.92


4.
This record from Alexandria describes crystalline CuSb2Te2 at its relaxed geometry. The functional is PBE.

- space-group type = P4/mbm (127)
- offset from the most stable computed form (eV/f.u.) = 0.000
- Fermi-level density of states (states/eV/atom) = 0.556
- ρ (g/cm3) = 6.6

abc: 7.9915 7.9915 4.4181
angles: 90.00 90.00 90.00
Positions (direct):
Sb 0.3181 0.8181 0.0000
Sb 0.8181 0.6819 0.0000
Sb 0.6819 0.1819 0.0000
Sb 0.1819 0.3181 0.0000
Te 0.1507 0.6507 0.5000
Te 0.6507 0.8493 0.5000
Te 0.8493 0.3493 0.5000
Te 0.3493 0.1507 0.5000
Cu 0.0000 0.0000 0.0000
Cu 0.5000 0.5000 0.0000


5.
This record from Alexandria describes crystalline Tb2ScSn at its relaxed geometry. The functional is PBE.

- ΔE_f (eV/atom) = -0.413
- space-group type = P4/mmm (123)
- offset from the most stable computed form (eV/f.u.) = 0.000
- Fermi-level density of states (states/eV/atom) = 1.240
- ρ (g/cm3) = 7.6

abc: 4.7453 4.7051 4.7051
angles: 90.00 90.00 90.00
Positions (direct):
Sc 0.5000 0.5000 0.5000
Tb 0.0000 0.0000 0.5000
Tb 0.0000 0.5000 0.0000
Sn 0.5000 0.0000 0.0000


6.
This record from Alexandria describes crystalline CdHg at its relaxed geometry. The functional is PBE.

- ΔE_f (eV/atom) = 0.014
- space-group type = Pmmn (59)
- Fermi-level density of states (states/eV/atom) = 0.179
- ρ (g/cm3) = 10.8

abc: 3.4538 5.1223 16.3833
angles: 90.00 90.00 90.00
Positions (direct):
Cd 0.0000 0.8748 0.6680
Cd 0.5000 0.1252 0.8320
Cd 0.5000 0.1252 0.1680
Cd 0.0000 0.8748 0.3320
Cd 0.0000 0.3547 0.0000
Cd 0.5000 0.6453 0.5000
Hg 0.0000 0.6244 0.8352
Hg 0.5000 0.3756 0.6648
Hg 0.5000 0.3756 0.3352
Hg 0.0000 0.6244 0.1648
Hg 0.0000 0.1407 0.5000
Hg 0.5000 0.8593 0.0000


7.
This record from Alexandria describes crystalline Y2PdAu2 at its relaxed geometry. The functional is PBE.

- ΔE_f (eV/atom) = -0.748
- space-group type = Ibam (72)
- offset from the most stable computed form (eV/f.u.) = 0.191
- Fermi-level density of states (states/eV/atom) = 0.712
- ρ (g/cm3) = 9.3

abc: 5.9491 6.3146 7.7700
angles: 113.98 112.51 90.00
Positions (direct):
Y 0.3514 0.6146 0.7028
Y 0.6486 0.3854 0.2972
Y 0.1486 0.9117 0.2972
Y 0.8514 0.0883 0.7028
Pd 0.7500 0.5000 0.0000
Pd 0.2500 0.5000 0.0000
Au 0.8765 0.6529 0.7531
Au 0.1235 0.3471 0.2469
Au 0.6235 0.8998 0.2469
Au 0.3765 0.1002 0.7531


8.
This record from Alexandria describes crystalline TbThTl at its relaxed geometry. The functional is PBE.

- ΔE_f (eV/atom) = -0.105
- space-group type = I4mm (107)
- offset from the most stable computed form (eV/f.u.) = 0.116
- Fermi-level density of states (states/eV/atom) = 1.119
- ρ (g/cm3) = 10.8

abc: 3.6432 3.6432 7.3819
angles: 104.29 104.29 90.00
Positions (direct):
Tl 0.9452 0.9452 0.8904
Tb 0.2943 0.2943 0.5885
Th 0.6105 0.6105 0.2211


9.
This record from Alexandria describes crystalline BaLaAg2 at its relaxed geometry. The functional is PBE.

- ΔE_f (eV/atom) = -0.241
- space-group type = Pmmm (47)
- Fermi-level density of states (states/eV/atom) = 1.111
- ρ (g/cm3) = 6.5

abc: 3.9508 3.9990 8.9026
angles: 63.34 90.00 90.00
Positions (direct):
Ba 0.5000 0.2500 0.2500
Ag 0.0000 0.0452 0.9552
Ag 0.0000 0.4548 0.5448
La 0.5000 0.7500 0.7500


10.
This record from Alexandria describes crystalline Cd2InPb5 at its relaxed geometry. The functional is PBE.

- ΔE_f (eV/atom) = 0.049
- space-group type = I4/mcm (140)
- offset from the most stable computed form (eV/f.u.) = 0.000
- Fermi-level density of states (states/eV/atom) = 0.402
- ρ (g/cm3) = 9.7

abc: 8.1045 8.1045 9.2053
angles: 116.12 116.12 90.00
Positions (direct):
Cd 0.1395 0.3605 0.0000
Cd 0.6395 0.1395 0.0000
Cd 0.3605 0.8605 0.0000
Cd 0.8605 0.6395 0.0000
In 0.7500 0.7500 0.5000
In 0.2500 0.2500 0.5000
Pb 0.4943 0.6879 0.6822
Pb 0.8121 0.0057 0.3178
Pb 0.0000 0.0000 0.0000
Pb 0.5000 0.5000 0.0000
Pb 0.1879 0.9943 0.6822
Pb 0.6879 0.1879 0.6822
Pb 0.9943 0.4943 0.6822
Pb 0.3121 0.8121 0.3178
Pb 0.0057 0.5057 0.3178
Pb 0.5057 0.3121 0.3178


11.
This record from Alexandria describes crystalline ScTlS at its relaxed geometry. The functional is PBE.

- space-group type = C2/m (12)
- offset from the most stable computed form (eV/f.u.) = 0.563
- Fermi-level density of states (states/eV/atom) = 0.606
- ρ (g/cm3) = 6.2

abc: 4.2547 4.2547 10.2870
angles: 67.93 67.93 64.60
Positions (direct):
Tl 0.6175 0.6175 0.0549
Tl 0.1357 0.1357 0.2525
S 0.6373 0.6373 0.5231
S 0.1158 0.1158 0.7843
Sc 0.3021 0.3021 0.5041
Sc 0.4512 0.4512 0.8031


12.
This record from Alexandria describes crystalline CsRbNaHg2 at its relaxed geometry. The functional is PBE.

- ΔE_f (eV/atom) = 0.009
- space-group type = P4/mmm (123)
- offset from the most stable computed form (eV/f.u.) = 0.662
- Fermi-level density of states (states/eV/atom) = 0.621
- ρ (g/cm3) = 4.2

abc: 6.1624 6.1624 6.6680
angles: 90.00 90.00 90.00
Positions (direct):
Cs 0.0000 0.0000 0.5000
Na 0.0000 0.0000 0.0000
Hg 0.0000 0.5000 0.0000
Hg 0.5000 0.0000 0.0000
Rb 0.5000 0.5000 0.5000


13.
This record from Alexandria describes crystalline ZnTc5 at its relaxed geometry. The functional is PBE.

- ΔE_f (eV/atom) = 0.079
- space-group type = P4/mmm (123)
- offset from the most stable computed form (eV/f.u.) = 0.354
- Fermi-level density of states (states/eV/atom) = 0.895
- ρ (g/cm3) = 10.6

abc: 2.7676 2.7676 11.3849
angles: 90.00 90.00 90.00
Positions (direct):
Tc 0.0000 0.0000 0.8318
Tc 0.0000 0.0000 0.1682
Tc 0.5000 0.5000 0.6718
Tc 0.5000 0.5000 0.3282
Tc 0.0000 0.0000 0.5000
Zn 0.5000 0.5000 0.0000


Results for total DFT energy (no corrections): -4.296, -8.448, -9.722, -3.449, -5.312, -0.594, -5.683, -4.911, -3.379, -2.839, -5.233, -0.739, -8.772 (in eV/atom, following the order of the records).